Entry 1:
VNi3 GGA-PBE relaxed; calculated total energy = -6.858 eV/atom; ΔE_f = -0.242 eV/atom; V = 44.91 Å³ per cell
1.0
-1.765 1.765 3.603
1.765 -1.765 3.603
1.765 1.765 -3.603
V Ni
1 3
Direct
0.000 0.000 0.000
0.250 0.750 0.500
0.500 0.500 0.000
0.750 0.250 0.500

Entry 2:
Ba2IrPbI GGA-PBE relaxed; calculated total energy = -4.233 eV/atom; formation energy (no corrections) = -0.640 eV/atom; V = 202.96 Å³ per cell
1.0
6.272 0.000 0.000
0.000 6.272 0.000
0.000 0.000 5.160
Ba Ir Pb I
2 1 1 1
Direct
0.000 0.500 0.000
0.500 0.000 0.000
0.000 0.000 0.000
0.000 0.000 0.500
0.500 0.500 0.500

Entry 3:
Mg2TeP2 GGA-PBE relaxed; energy above the lowest structure with this stoichiometry = 0 meV per atom; calculated total energy = -3.745 eV/atom; formation energy (no corrections) = -0.315 eV/atom; V = 99.99 Å³ per cell
1.0
-1.840 1.840 7.382
1.840 -1.840 7.382
1.840 1.840 -7.382
Mg Te P
2 1 2
Direct
0.113 0.113 0.000
0.887 0.887 0.000
0.500 0.500 0.000
0.250 0.750 0.500
0.750 0.250 0.500

Entry 4:
Cs3KRbO GGA-PBE relaxed; calculated total energy = -2.096 eV/atom; formation energy (no corrections) = -0.499 eV/atom; V = 882.33 Å³ per cell
1.0
4.484 -12.848 0.000
4.484 12.848 0.000
-2.248 0.000 7.658
Cs K Rb O
6 2 2 2
Direct
0.133 0.867 0.750
0.183 0.228 0.020
0.228 0.183 0.520
0.772 0.817 0.480
0.817 0.772 0.980
0.867 0.133 0.250
0.246 0.754 0.250
0.754 0.246 0.750
0.335 0.665 0.750
0.665 0.335 0.250
0.030 0.970 0.750
0.970 0.030 0.250

Entry 5:
Zr2CuRe GGA-PBE relaxed; calculated total energy = -7.739 eV/atom; ΔE_f = 0.671 eV/atom; V = 74.29 Å³ per cell
1.0
-1.407 2.494 5.291
1.407 -2.494 5.291
1.407 2.494 -5.291
Zr Cu Re
2 1 1
Direct
0.244 0.244 0.000
0.756 0.756 0.000
0.000 0.000 0.000
0.500 0.500 0.000

Entry 6:
TlPbF2 GGA-PBE relaxed; energy above the lowest structure with this stoichiometry = 258 meV per atom; calculated total energy = -3.858 eV/atom; formation energy (no corrections) = -1.404 eV/atom; V = 77.73 Å³ per cell
1.0
0.000 3.387 3.387
3.387 0.000 3.387
3.387 3.387 0.000
Tl Pb F
1 1 2
Direct
0.000 0.000 0.000
0.500 0.500 0.500
0.250 0.250 0.250
0.750 0.750 0.750

Number 6 is which compound? TlPbF2

Which of these has the highest V? Cs3KRbO

What did the fifth record say?
Zr2CuRe GGA-PBE relaxed; calculated total energy = -7.739 eV/atom; ΔE_f = 0.671 eV/atom; V = 74.29 Å³ per cell
1.0
-1.407 2.494 5.291
1.407 -2.494 5.291
1.407 2.494 -5.291
Zr Cu Re
2 1 1
Direct
0.244 0.244 0.000
0.756 0.756 0.000
0.000 0.000 0.000
0.500 0.500 0.000

Look up the V of the second one. 202.96 Å³ per cell